1.
Compound: Ca2Zn
Source: Alexandria
Functional: PBEsol
Structure: optimized geometry Values from VASP.

Cell and atoms, written as Quantum ESPRESSO input:
```
&SYSTEM
  ibrav = 0, nat = 12, ntyp = 2
/
ATOMIC_SPECIES
Ca 40.08 Ca.upf
Zn 65.41 Zn.upf
CELL_PARAMETERS angstrom
7.3826 0.0000 0.0000
0.0000 7.3826 0.0000
0.0000 0.0000 6.5304
ATOMIC_POSITIONS crystal
Ca 0.1752 0.3248 0.0000
Ca 0.1752 0.6752 0.5000
Ca 0.3248 0.1752 0.5000
Ca 0.3248 0.8248 0.0000
Ca 0.6752 0.1752 0.0000
Ca 0.6752 0.8248 0.5000
Ca 0.8248 0.3248 0.5000
Ca 0.8248 0.6752 0.0000
Zn 0.0000 0.0000 0.2500
Zn 0.0000 0.0000 0.7500
Zn 0.5000 0.5000 0.2500
Zn 0.5000 0.5000 0.7500
```

- Calculated total energy: -25.1 eV/cell
- Magnetization: 0.00 μB/atom
- Calculated volume: 89 Å³/f.u.
- N(E_F): 0.829 states/eV/atom
- Formation energy from the elements: -143.4 meV per atom


2.
Compound: Nd3Cd
Source: Alexandria
Functional: PBEsol
Structure: optimized geometry Values from VASP.

Cell and atoms, written as Quantum ESPRESSO input:
```
&SYSTEM
  ibrav = 0, nat = 8, ntyp = 2
/
ATOMIC_SPECIES
Nd 144.24 Nd.upf
Cd 112.41 Cd.upf
CELL_PARAMETERS angstrom
4.8079 0.0000 0.0000
0.0000 4.8079 0.0000
0.0000 0.0000 9.9413
ATOMIC_POSITIONS crystal
Nd 0.0000 0.0000 0.0000
Nd 0.0000 0.5000 0.2500
Nd 0.0000 0.5000 0.7500
Nd 0.5000 0.0000 0.2500
Nd 0.5000 0.0000 0.7500
Nd 0.5000 0.5000 0.5000
Cd 0.0000 0.0000 0.5000
Cd 0.5000 0.5000 0.0000
```

- Calculated total energy: -34.4 eV/cell
- Magnetization: 0.00 μB/atom
- Calculated volume: 115 Å³/f.u.
- N(E_F): 1.086 states/eV/atom
- Formation energy from the elements: -131.7 meV per atom


3.
Compound: LiGa3Te5
Source: Alexandria
Functional: PBEsol
Structure: optimized geometry Values from VASP.

Cell and atoms, written as Quantum ESPRESSO input:
```
&SYSTEM
  ibrav = 0, nat = 36, ntyp = 3
/
ATOMIC_SPECIES
Li 6.94 Li.upf
Ga 69.72 Ga.upf
Te 127.60 Te.upf
CELL_PARAMETERS angstrom
7.1508 4.1285 5.8066
-7.1508 4.1285 5.8066
0.0000 -8.2571 5.8066
ATOMIC_POSITIONS crystal
Li 0.0000 0.0000 0.0000
Li 0.2250 0.4934 0.7575
Li 0.4934 0.7575 0.2250
Li 0.7575 0.2250 0.4934
Ga 0.0641 0.3641 0.3326
Ga 0.1537 0.7413 0.3227
Ga 0.2420 0.8299 0.6608
Ga 0.3227 0.1537 0.7413
Ga 0.3326 0.0641 0.3641
Ga 0.3641 0.3326 0.0641
Ga 0.6202 0.9201 0.6512
Ga 0.6512 0.6202 0.9201
Ga 0.6608 0.2420 0.8299
Ga 0.7413 0.3227 0.1537
Ga 0.8299 0.6608 0.2420
Ga 0.9201 0.6512 0.6202
Te 0.0589 0.5578 0.1579
Te 0.0633 0.7360 0.8209
Te 0.1579 0.0589 0.5578
Te 0.1631 0.2491 0.9201
Te 0.2491 0.9201 0.1631
Te 0.3246 0.3246 0.3246
Te 0.3279 0.6562 0.4916
Te 0.4047 0.5791 0.9919
Te 0.4258 0.9248 0.8253
Te 0.4916 0.3279 0.6562
Te 0.5578 0.1579 0.0589
Te 0.5791 0.9919 0.4047
Te 0.6562 0.4916 0.3279
Te 0.6594 0.6594 0.6594
Te 0.7360 0.8209 0.0633
Te 0.8209 0.0633 0.7360
Te 0.8253 0.4258 0.9248
Te 0.9201 0.1631 0.2491
Te 0.9248 0.8253 0.4258
Te 0.9919 0.4047 0.5791
```

- Calculated total energy: -133.6 eV/cell
- Magnetization: 0.00 μB/atom
- Calculated volume: 257 Å³/f.u.
- Formation energy without anion corrections: -0.421 eV/atom


4.
Compound: Tm11Ge10
Source: Alexandria
Functional: PBEsol
Structure: optimized geometry Values from VASP.

Cell and atoms, written as Quantum ESPRESSO input:
```
&SYSTEM
  ibrav = 0, nat = 42, ntyp = 2
/
ATOMIC_SPECIES
Tm 168.93 Tm.upf
Ge 72.64 Ge.upf
CELL_PARAMETERS angstrom
-5.3193 5.3193 7.9423
5.3193 -5.3193 7.9423
5.3193 5.3193 -7.9423
ATOMIC_POSITIONS crystal
Tm 0.0588 0.3105 0.7483
Tm 0.1023 0.4278 0.3255
Tm 0.1023 0.7768 0.6745
Tm 0.1614 0.1614 0.0000
Tm 0.2232 0.8977 0.3255
Tm 0.3105 0.0588 0.7483
Tm 0.3105 0.5621 0.2517
Tm 0.3233 0.3233 0.6465
Tm 0.3233 0.6767 0.0000
Tm 0.4278 0.1023 0.3255
Tm 0.4379 0.6895 0.7483
Tm 0.5621 0.3105 0.2517
Tm 0.5722 0.8977 0.6745
Tm 0.6767 0.3233 0.0000
Tm 0.6767 0.6767 0.3535
Tm 0.6895 0.4379 0.7483
Tm 0.6895 0.9412 0.2517
Tm 0.7768 0.1023 0.6745
Tm 0.8386 0.8386 0.0000
Tm 0.8977 0.2232 0.3255
Tm 0.8977 0.5722 0.6745
Tm 0.9412 0.6895 0.2517
Ge 0.0286 0.0286 0.4179
Ge 0.0286 0.6107 0.0000
Ge 0.1216 0.1216 0.2432
Ge 0.1216 0.8784 0.0000
Ge 0.1408 0.5000 0.6408
Ge 0.2500 0.7500 0.5000
Ge 0.3883 0.3883 0.0000
Ge 0.3893 0.3893 0.4179
Ge 0.3893 0.9714 0.0000
Ge 0.5000 0.1408 0.6408
Ge 0.5000 0.8592 0.3592
Ge 0.6107 0.0286 0.0000
Ge 0.6107 0.6107 0.5821
Ge 0.6117 0.6117 0.0000
Ge 0.7500 0.2500 0.5000
Ge 0.8592 0.5000 0.3592
Ge 0.8784 0.1216 0.0000
Ge 0.8784 0.8784 0.7568
Ge 0.9714 0.3893 0.0000
Ge 0.9714 0.9714 0.5821
```

- Calculated total energy: -244.1 eV/cell
- Magnetization: 0.00 μB/atom
- Calculated volume: 449 Å³/f.u.
- N(E_F): 0.482 states/eV/atom
- Formation energy from the elements: -893.0 meV per atom


5.
Compound: Tb2Ga9Ru3
Source: Alexandria
Functional: PBEsol
Structure: optimized geometry Values from VASP.

Cell and atoms, written as Quantum ESPRESSO input:
```
&SYSTEM
  ibrav = 0, nat = 28, ntyp = 3
/
ATOMIC_SPECIES
Tb 158.93 Tb.upf
Ga 69.72 Ga.upf
Ru 101.07 Ru.upf
CELL_PARAMETERS angstrom
6.3350 -3.7473 0.0000
6.3350 3.7473 0.0000
0.0000 0.0000 9.5713
ATOMIC_POSITIONS crystal
Tb 0.0017 0.6764 0.7500
Tb 0.3236 0.9983 0.7500
Tb 0.6764 0.0017 0.2500
Tb 0.9983 0.3236 0.2500
Ga 0.0105 0.6610 0.0775
Ga 0.0105 0.6610 0.4225
Ga 0.1342 0.8658 0.2500
Ga 0.3378 0.6622 0.5612
Ga 0.3378 0.6622 0.9388
Ga 0.3390 0.9895 0.0775
Ga 0.3390 0.9895 0.4225
Ga 0.3408 0.4440 0.2500
Ga 0.4440 0.3408 0.7500
Ga 0.5560 0.6592 0.2500
Ga 0.6592 0.5560 0.7500
Ga 0.6610 0.0105 0.5775
Ga 0.6610 0.0105 0.9225
Ga 0.6622 0.3378 0.0612
Ga 0.6622 0.3378 0.4388
Ga 0.8658 0.1342 0.7500
Ga 0.9895 0.3390 0.5775
Ga 0.9895 0.3390 0.9225
Ru 0.0000 0.0000 0.0000
Ru 0.0000 0.0000 0.5000
Ru 0.3235 0.3235 0.0000
Ru 0.3235 0.3235 0.5000
Ru 0.6765 0.6765 0.0000
Ru 0.6765 0.6765 0.5000
```

- Calculated total energy: -157.3 eV/cell
- Magnetization: 0.00 μB/atom
- Calculated volume: 227 Å³/f.u.
- N(E_F): 0.422 states/eV/atom
- Formation energy from the elements: -575.4 meV per atom


6.
Compound: YBeAu3
Source: Alexandria
Functional: PBEsol
Structure: optimized geometry Values from VASP.

Cell and atoms, written as Quantum ESPRESSO input:
```
&SYSTEM
  ibrav = 0, nat = 10, ntyp = 3
/
ATOMIC_SPECIES
Y 88.91 Y.upf
Be 9.01 Be.upf
Au 196.97 Au.upf
CELL_PARAMETERS angstrom
5.3157 0.0000 0.0000
0.0000 5.7270 0.0000
-0.5699 0.0000 5.7264
ATOMIC_POSITIONS crystal
Y 0.1798 0.2500 0.1721
Y 0.8202 0.7500 0.8279
Be 0.0677 0.7500 0.3671
Be 0.9323 0.2500 0.6329
Au 0.2857 0.5006 0.6464
Au 0.2857 0.9994 0.6464
Au 0.3311 0.7500 0.0800
Au 0.6689 0.2500 0.9200
Au 0.7143 0.0006 0.3536
Au 0.7143 0.4994 0.3536
```

- Calculated total energy: -51.1 eV/cell
- Magnetization: 0.00 μB/atom
- Calculated volume: 87 Å³/f.u.
- N(E_F): 0.374 states/eV/atom
- Formation energy from the elements: -590.8 meV per atom


7.
Compound: Zn2SiTe
Source: Alexandria
Functional: PBEsol
Structure: optimized geometry Values from VASP.

Cell and atoms, written as Quantum ESPRESSO input:
```
&SYSTEM
  ibrav = 0, nat = 4, ntyp = 3
/
ATOMIC_SPECIES
Zn 65.41 Zn.upf
Si 28.09 Si.upf
Te 127.60 Te.upf
CELL_PARAMETERS angstrom
4.1887 0.0000 0.0000
0.0000 3.6779 0.0000
-1.6771 0.0000 5.1157
ATOMIC_POSITIONS crystal
Zn 0.2421 0.0000 0.2838
Zn 0.7579 0.0000 0.7162
Si 0.0000 0.5000 0.5000
Te 0.5000 0.5000 0.0000
```

- Calculated total energy: -11.6 eV/cell
- Magnetization: 0.00 μB/atom
- Calculated volume: 79 Å³/f.u.
- N(E_F): 0.355 states/eV/atom
- Formation energy without anion corrections: 0.204 eV/atom


8.
Compound: SrV2Ni2O8
Source: Alexandria
Functional: PBEsol
Structure: optimized geometry Values from VASP.

Cell and atoms, written as Quantum ESPRESSO input:
```
&SYSTEM
  ibrav = 0, nat = 52, ntyp = 4
/
ATOMIC_SPECIES
Sr 87.62 Sr.upf
V 50.94 V.upf
Ni 58.69 Ni.upf
O 16.00 O.upf
CELL_PARAMETERS angstrom
-6.0109 6.0109 4.1086
6.0109 -6.0109 4.1086
6.0109 6.0109 -4.1086
ATOMIC_POSITIONS crystal
Sr 0.0000 0.0000 0.0000
Sr 0.2500 0.7500 0.5000
Sr 0.5000 0.5000 0.0000
Sr 0.7500 0.2500 0.5000
V 0.0737 0.9125 0.6770
V 0.1468 0.3237 0.6613
V 0.1625 0.8237 0.1770
V 0.2355 0.3968 0.3230
V 0.5737 0.8968 0.1613
V 0.6468 0.9855 0.8230
V 0.6625 0.4855 0.3387
V 0.7355 0.4125 0.8387
Ni 0.1072 0.4421 0.9967
Ni 0.1921 0.6954 0.8349
Ni 0.3605 0.1954 0.5033
Ni 0.4454 0.1105 0.0033
Ni 0.6072 0.6105 0.6651
Ni 0.6921 0.8572 0.4967
Ni 0.8605 0.3572 0.1651
Ni 0.9454 0.9421 0.3349
O 0.0481 0.3819 0.3288
O 0.0531 0.7193 0.6712
O 0.0995 0.6040 0.1687
O 0.1265 0.9630 0.5160
O 0.1319 0.3031 0.8338
O 0.1501 0.5060 0.6532
O 0.1809 0.1854 0.3313
O 0.2130 0.8765 0.0160
O 0.2468 0.4001 0.1441
O 0.2560 0.1028 0.8559
O 0.3528 0.0060 0.3559
O 0.3540 0.6854 0.0045
O 0.3605 0.3765 0.6634
O 0.4354 0.9309 0.8313
O 0.4471 0.6105 0.4840
O 0.4693 0.2981 0.1662
O 0.5481 0.2193 0.6662
O 0.5531 0.8819 0.3338
O 0.5995 0.4309 0.4955
O 0.6265 0.1105 0.1634
O 0.6319 0.7981 0.8288
O 0.6501 0.9968 0.6441
O 0.6809 0.3495 0.9955
O 0.7130 0.6971 0.3366
O 0.7468 0.6028 0.8468
O 0.7560 0.9001 0.1532
O 0.8528 0.4968 0.3468
O 0.8540 0.8495 0.6687
O 0.8605 0.1971 0.9840
O 0.9354 0.1040 0.5045
O 0.9471 0.4630 0.8366
O 0.9693 0.8031 0.1712
```

- Calculated total energy: -406.4 eV/cell
- Magnetization: 0.30 μB/atom
- Calculated volume: 148 Å³/f.u.
- Formation energy without anion corrections: -2.013 eV/atom